First-principles (PBE-GGA) data for ZnRhSe2 after structural relaxation, as listed in the Alexandria database.

Values from the calculation:
The density of states at the Fermi level comes out at 3.3 states/eV/cell. For the calculated density, the calculation gives 7.25 Mg/m³. As for the total moment: 0.00 Bohr magnetons per cell. The final energy comes out at -0.289 Ry/atom. The calculation puts the formation energy (no corrections) at -0.2 eV/f.u. The calculation puts the calculated volume at 18.7 A^3/atom.

abc: 2.9378 4.3663 11.6439
angles: 90.00 90.00 90.00
Last column: nearest neighbours and their distance in Å.
Element x y z (fractional)
Zn  0.0000  0.0000  0.0000  2 Rh 2.77, 6 Se 2.86-2.99, 2 Zn 2.94
Zn  0.5000  0.5000  0.5000  2 Rh 2.77, 6 Se 2.86-2.99, 2 Zn 2.94
Rh  0.0000  0.5000  0.7012  6 Se 2.53-2.68, 2 Zn 2.77
Rh  0.5000  0.0000  0.2012  6 Se 2.53-2.68, 2 Zn 2.77
Se  0.0000  0.0000  0.3785  2 Rh 2.53
Se  0.0000  0.5000  0.1583  4 Rh 2.68, 2 Zn 2.86, 2 Se 2.94
Se  0.5000  0.0000  0.6583  4 Rh 2.68, 2 Zn 2.86, 2 Se 2.94
Se  0.5000  0.5000  0.8785  2 Rh 2.53